The following is a PBEsol calculation of crystalline BeSnSbN2 at its relaxed geometry, from Alexandria. Values from VASP.

Geometry as Quantum ESPRESSO input:
```
&SYSTEM
  ibrav = 0, nat = 5, ntyp = 4
/
ATOMIC_SPECIES
Be 9.01 Be.upf
Sn 118.71 Sn.upf
Sb 121.76 Sb.upf
N 14.01 N.upf
CELL_PARAMETERS angstrom
4.141 0.000 0.000
0.000 4.141 0.000
0.000 0.000 4.699
ATOMIC_POSITIONS angstrom
Be 0.000 0.000 0.000
Sn 2.070 2.070 0.000
Sb 0.000 0.000 2.349
N 0.000 2.070 2.349
N 2.070 0.000 2.349
```

Calculated values
Total energy   -4.680 eV per atom
Theoretical density   5.7 g/cm3